VASP calculation (GGA-PBE) on La15Pr4Pb after structural relaxation.

```
data_La15Pr4Pb
_cell_length_a 5.220
_cell_length_b 5.220
_cell_length_c 26.410
_cell_angle_alpha 90.00
_cell_angle_beta 90.00
_cell_angle_gamma 90.00
_space_group_name_H-M_alt 'P 4/m m m'
_space_group_IT_number 123
_space_group_name_Hall '-P 4 2'
loop_
_atom_site_label
_atom_site_fract_x
_atom_site_fract_y
_atom_site_fract_z
La1 0.000 0.000 0.000
La2 0.000 0.000 0.199
La3 0.000 0.000 0.400
La4 0.000 0.500 0.096
La5 0.000 0.500 0.297
La6 0.000 0.500 0.500
Pr1 0.500 0.500 0.198
Pr2 0.500 0.500 0.400
Pb1 0.500 0.500 0.000
```

Computed properties:
The magnetization comes out at 0.00 μB/f.u. The formation energy is -63 meV/atom. As for the calculated volume: 720 Å³/cell.